# 1
This record from Alexandria via LeMat-Bulk describes AcMgRu after structural relaxation. The functional is PBE-GGA.

It has space group F-43m (No. 216), with a = 6.842 Å, b = 6.842 Å, c = 6.842 Å, α = 90.00°, β = 90.00° and γ = 90.00°. Symmetry generates all atoms from Ac at (0.000, 0.000, 0.000), Mg at (0.000, 0.000, 0.500) and Ru at (0.250, 0.250, 0.250).

As for the crystal system: cubic. Its density of states at the Fermi level is 15.535 states/eV/cell. The calculation puts the formation energy at 0.08 eV/atom.

=====

# 2
This record from Alexandria via LeMat-Bulk describes Ac3MgRu after structural relaxation. The functional is PBE-GGA.

It has space group P-1 (No. 2), with a = 6.280 Å, b = 7.099 Å, c = 8.173 Å, α = 87.43°, β = 78.50° and γ = 71.46°. Symmetry generates all atoms from Ac at (0.155, 0.120, 0.320), Ac at (0.244, 0.260, 0.740), Ac at (0.316, 0.744, 0.933), Mg at (0.307, 0.557, 0.400) and Ru at (0.380, 0.844, 0.591).

As for the crystal system: triclinic. Its density of states at the Fermi level is 11.581 states/eV/cell. The calculation puts the formation energy at -0.10 eV/atom.

=====

# 3
This record from Alexandria via LeMat-Bulk describes Ac3MgRu after structural relaxation. The functional is PBE-GGA.

It has space group Pm-3m (No. 221), with a = 5.753 Å, b = 5.753 Å, c = 5.753 Å, α = 90.00°, β = 90.00° and γ = 90.00°. Symmetry generates all atoms from Ac at (0.000, 0.000, 0.500), Mg at (0.500, 0.500, 0.500) and Ru at (0.000, 0.000, 0.000).

As for the crystal system: cubic. Its density of states at the Fermi level is 5.587 states/eV/cell. The calculation puts the formation energy at -0.11 eV/atom.

=====

# 4
This record from Alexandria via LeMat-Bulk describes AcTmMgRu after structural relaxation. The functional is PBE-GGA.

It has space group F-43m (No. 216), with a = 7.384 Å, b = 7.384 Å, c = 7.384 Å, α = 90.00°, β = 90.00° and γ = 90.00°. Symmetry generates all atoms from Ac at (0.000, 0.000, 0.000), Tm at (0.000, 0.000, 0.500), Mg at (0.250, 0.250, 0.750) and Ru at (0.250, 0.250, 0.250).

As for the crystal system: cubic. Its density of states at the Fermi level is 20.110 states/eV/cell. The calculation puts the formation energy at -0.01 eV/atom.